1.
# Pr6HgS4 GGA-PBE relaxed
data_Pr6HgS4
_chemical_formula_sum 'Pr24 Hg4 S16'
_cell_length_a 4.1245
_cell_length_b 13.7110
_cell_length_c 21.1421
_cell_angle_alpha 90.00
_cell_angle_beta 90.00
_cell_angle_gamma 90.00
_symmetry_space_group_name_H-M 'C m c m'
_symmetry_Int_Tables_number 63
_symmetry_space_group_name_Hall '-C 2c 2'
loop_
_atom_site_label
_atom_site_type_symbol
_atom_site_fract_x
_atom_site_fract_y
_atom_site_fract_z
Pr1 Pr 0.0000 0.0000 0.0000
Pr2 Pr 0.0000 0.1663 0.2500
Pr3 Pr 0.0000 0.2718 0.5811
Pr4 Pr 0.0000 0.4607 0.1586
Hg1 Hg 0.0000 0.1577 0.7500
S1 S 0.0000 0.0950 0.1230
S2 S 0.0000 0.3635 0.0403
# Calculated density, g/cm³: 6.524
# Total magnetic moment, μB/cell: 2.40
# Fermi-level density of states, states/eV/cell: 28.146
# VASP energy, eV/atom: -5.699
# Uncorrected formation energy, eV per formula unit: -17.20

---

2.
# RbAcTeO4 GGA-PBE relaxed
data_RbAcTeO4
_chemical_formula_sum 'Rb2 Ac2 Te2 O8'
_cell_length_a 6.1893
_cell_length_b 6.2034
_cell_length_c 8.6412
_cell_angle_alpha 90.00
_cell_angle_beta 110.57
_cell_angle_gamma 90.00
_symmetry_space_group_name_H-M 'P 1 21/m 1'
_symmetry_Int_Tables_number 11
loop_
_symmetry_equiv_pos_as_xyz
'x,y,z'
'-x,-y,-z'
'-x,y+1/2,-z'
'x,-y+1/2,z'
loop_
_atom_site_label
_atom_site_type_symbol
_atom_site_fract_x
_atom_site_fract_y
_atom_site_fract_z
Rb1 Rb 0.0537 0.2500 0.1408
Ac1 Ac 0.1958 0.7500 0.4665
Te1 Te 0.4004 0.2500 0.7516
O1 O 0.1659 0.0109 0.6829
O2 O 0.2483 0.7500 0.1950
O3 O 0.3856 0.2500 0.5210
# Calculated density, g/cm³: 5.389
# Total magnetic moment, μB/cell: 0.00
# Fermi-level density of states, states/eV/cell: 0.000
# VASP energy, eV/atom: -6.024
# Uncorrected formation energy, eV per formula unit: -14.12